Record 1
Density functional theory data (PBE-GGA) for a geometry-optimized KCoOs2 structure.

DOS at the Fermi energy	1.68	states/eV per atom
total energy	-0.2251	hartree per atom
V	193.0	Å³/cell
symmetry	I-42d
formation energy from the elements	1.54	eV per atom

a = 4.8554 Å, b = 4.8554 Å, c = 8.8789 Å
α = 74.13°, β = 74.13°, γ = 90.00°
Each line ends with the local moment (μB).
Atoms (fractional coordinates):
Co (0.0000, 0.0000, 0.0000)  0.57
Co (0.7500, 0.2500, 0.5000)  0.57
K (0.5000, 0.5000, 0.0000)  0.00
K (0.2500, 0.7500, 0.5000)  0.00
Os (0.9009, 0.1250, 0.2500)  0.28
Os (0.8491, 0.6250, 0.2500)  0.27
Os (0.3750, 0.0991, 0.7500)  0.26
Os (0.8750, 0.1509, 0.7500)  0.23

Record 2
Density functional theory data (PBE-GGA) for a geometry-optimized KCoOs structure.

DOS at the Fermi energy	0.87	states/eV per atom
total energy	-0.1986	hartree per atom
V	234.3	Å³/cell
symmetry	Pnma
formation energy from the elements	1.07	eV per atom

a = 7.8471 Å, b = 4.1498 Å, c = 7.1945 Å
α = 90.00°, β = 90.00°, γ = 90.00°
Atoms (fractional coordinates):
Co (0.8502, 0.2500, 0.4181)
Co (0.6498, 0.7500, 0.9181)
Co (0.1498, 0.7500, 0.5819)
Co (0.3502, 0.2500, 0.0819)
K (0.0022, 0.2500, 0.8568)
K (0.4978, 0.7500, 0.3568)
K (0.9978, 0.7500, 0.1432)
K (0.5022, 0.2500, 0.6432)
Os (0.1415, 0.2500, 0.4285)
Os (0.3585, 0.7500, 0.9285)
Os (0.8585, 0.7500, 0.5715)
Os (0.6415, 0.2500, 0.0715)

Record 3
Density functional theory data (PBE-GGA) for a geometry-optimized KCoOs structure.

DOS at the Fermi energy	1.80	states/eV per atom
total energy	-0.2160	hartree per atom
V	170.8	Å³/cell
symmetry	Cm
formation energy from the elements	0.60	eV per atom

a = 4.2438 Å, b = 4.2421 Å, c = 11.3027 Å
α = 102.31°, β = 90.03°, γ = 120.01°
Each line ends with the local moment (μB).
Atoms (fractional coordinates):
Os (0.3026, 0.5233, 0.9004)  0.01
Os (0.6360, 0.1900, 0.9004)  0.01
K (0.4210, 0.7578, 0.2096)  0.00
K (0.1861, 0.2905, 0.5910)  0.00
Co (0.0079, 0.9331, 0.0013)  1.54
Co (0.9310, 0.7805, 0.7995)  1.55

Record 4
Density functional theory data (PBE-GGA) for a geometry-optimized KCoOs structure.

DOS at the Fermi energy	0.98	states/eV per atom
total energy	-0.1941	hartree per atom
V	337.3	Å³/cell
symmetry	Pnma
formation energy from the elements	1.19	eV per atom

a = 10.0496 Å, b = 4.0661 Å, c = 8.2539 Å
α = 90.00°, β = 90.00°, γ = 90.00°
Each line ends with the local moment (μB).
Atoms (fractional coordinates):
Co (0.9523, 0.2500, 0.8460)  0.40
Co (0.5477, 0.7500, 0.3460)  0.40
Co (0.0477, 0.7500, 0.1540)  0.40
Co (0.4523, 0.2500, 0.6540)  0.40
K (0.8011, 0.2500, 0.4905)  0.00
K (0.6989, 0.7500, 0.9905)  0.00
K (0.1989, 0.7500, 0.5095)  0.00
K (0.3011, 0.2500, 0.0095)  0.00
Os (0.4583, 0.2500, 0.3764)  0.25
Os (0.0417, 0.7500, 0.8764)  0.26
Os (0.5417, 0.7500, 0.6236)  0.25
Os (0.9583, 0.2500, 0.1236)  0.26

Record 5
Density functional theory data (PBE-GGA) for a geometry-optimized KCoOs structure.

DOS at the Fermi energy	0.81	states/eV per atom
total energy	-0.1993	hartree per atom
V	145.4	Å³/cell
symmetry	P6_3/mmc
formation energy from the elements	1.06	eV per atom

a = 3.8731 Å, b = 3.8731 Å, c = 11.1919 Å
α = 90.00°, β = 90.00°, γ = 120.00°
Atoms (fractional coordinates):
Co (0.3333, 0.6667, 0.7500)
Co (0.6667, 0.3333, 0.2500)
K (0.0000, 0.0000, 0.0000)
K (0.0000, 0.0000, 0.5000)
Os (0.3333, 0.6667, 0.2500)
Os (0.6667, 0.3333, 0.7500)

Record 6
Density functional theory data (PBE-GGA) for a geometry-optimized KCoOs structure.

DOS at the Fermi energy	0.80	states/eV per atom
total energy	-0.2013	hartree per atom
V	116.7	Å³/cell
symmetry	Ima2
formation energy from the elements	1.00	eV per atom

a = 5.8815 Å, b = 8.0796 Å, c = 5.5677 Å
α = 43.48°, β = 58.12°, γ = 90.00°
Atoms (fractional coordinates):
Co (0.2217, 0.2217, 0.5566)
Co (0.7217, 0.2217, 0.5566)
K (0.4816, 0.8651, 0.5368)
K (0.9816, 0.5982, 0.5368)
Os (0.1248, 0.1758, 0.2504)
Os (0.6248, 0.5739, 0.2504)

Record 7
Density functional theory data (PBE-GGA) for a geometry-optimized KCoP2Os structure.

DOS at the Fermi energy	0.33	states/eV per atom
total energy	-0.2419	hartree per atom
V	97.8	Å³/cell
symmetry	I-4m2
formation energy from the elements	-0.53	eV per atom

a = 3.8420 Å, b = 3.8420 Å, c = 7.1632 Å
α = 105.56°, β = 105.56°, γ = 90.00°
Atoms (fractional coordinates):
K (0.0000, 0.0000, 0.0000)
Co (0.7500, 0.2500, 0.5000)
P (0.6567, 0.6567, 0.3134)
P (0.3433, 0.3433, 0.6866)
Os (0.2500, 0.7500, 0.5000)

Record 8
Density functional theory data (PBE-GGA) for a geometry-optimized KSc2CoOs structure.

DOS at the Fermi energy	0.91	states/eV per atom
total energy	-0.1524	hartree per atom
V	98.7	Å³/cell
symmetry	P4/mmm
formation energy from the elements	2.27	eV per atom

a = 4.6877 Å, b = 4.4921 Å, c = 4.6877 Å
α = 90.00°, β = 90.00°, γ = 90.00°
Atoms (fractional coordinates):
Sc (0.0000, 0.0000, 0.5000)
Sc (0.5000, 0.0000, 0.0000)
Co (0.5000, 0.5000, 0.5000)
K (0.0000, 0.0000, 0.0000)
Os (0.0000, 0.5000, 0.0000)

Record 9
Density functional theory data (PBE-GGA) for a geometry-optimized KCoSiOs2 structure.

DOS at the Fermi energy	1.10	states/eV per atom
total energy	-0.2036	hartree per atom
uncorrected formation energy	1.676	eV per atom
V	105.5	Å³/cell
symmetry	P4/mmm

a = 4.4667 Å, b = 5.2899 Å, c = 4.4667 Å
α = 90.00°, β = 90.00°, γ = 90.00°
Each line ends with the local moment (μB).
Atoms (fractional coordinates):
Co (0.5000, 0.5000, 0.5000)  2.17
K (0.0000, 0.5000, 0.0000)  0.00
Os (0.0000, 0.0000, 0.5000)  -0.21
Os (0.5000, 0.0000, 0.0000)  -0.27
Si (0.0000, 0.0000, 0.0000)  0.01

Record 10
Density functional theory data (PBE-GGA) for a geometry-optimized K2CoSiOs structure.

DOS at the Fermi energy	1.46	states/eV per atom
total energy	-0.1306	hartree per atom
uncorrected formation energy	1.637	eV per atom
V	176.3	Å³/cell
symmetry	P4/mmm

a = 6.3807 Å, b = 4.3308 Å, c = 6.3807 Å
α = 90.00°, β = 90.00°, γ = 90.00°
Each line ends with the local moment (μB).
Atoms (fractional coordinates):
Co (0.0000, 0.5000, 0.0000)  1.02
K (0.0000, 0.0000, 0.5000)  0.01
K (0.5000, 0.0000, 0.0000)  0.02
Os (0.0000, 0.0000, 0.0000)  1.07
Si (0.5000, 0.5000, 0.5000)  0.39

Record 11
Density functional theory data (PBE-GGA) for a geometry-optimized KSrCoOs2 structure.

DOS at the Fermi energy	1.38	states/eV per atom
total energy	-0.1347	hartree per atom
V	142.1	Å³/cell
symmetry	P4/mmm
formation energy from the elements	2.80	eV per atom

a = 5.2339 Å, b = 5.1863 Å, c = 5.2339 Å
α = 90.00°, β = 90.00°, γ = 90.00°
Each line ends with the local moment (μB).
Atoms (fractional coordinates):
Sr (0.0000, 0.0000, 0.0000)  -0.10
K (0.5000, 0.5000, 0.5000)  -0.01
Os (0.0000, 0.0000, 0.5000)  1.40
Os (0.5000, 0.0000, 0.0000)  1.46
Co (0.0000, 0.5000, 0.0000)  1.79

Record 12
Density functional theory data (PBE-GGA) for a geometry-optimized K2VCoOs structure.

DOS at the Fermi energy	3.46	states/eV per atom
total energy	-0.1500	hartree per atom
V	184.6	Å³/cell
symmetry	P4/mmm
formation energy from the elements	1.85	eV per atom

a = 6.4272 Å, b = 4.4694 Å, c = 6.4272 Å
α = 90.00°, β = 90.00°, γ = 90.00°
Each line ends with the local moment (μB).
Atoms (fractional coordinates):
Co (0.5000, 0.5000, 0.5000)  2.21
K (0.0000, 0.0000, 0.5000)  0.02
K (0.5000, 0.0000, 0.0000)  0.02
Os (0.0000, 0.5000, 0.0000)  -1.07
V (0.0000, 0.0000, 0.0000)  2.07